# PBE Ce6GeRh3, relaxed
data_Ce6GeRh3
_cell_length_a 11.101
_cell_length_b 4.047
_cell_length_c 12.083
_cell_angle_alpha 90.00
_cell_angle_beta 107.91
_cell_angle_gamma 90.00
_symmetry_space_group_name_H-M 'P 1 21/m 1'
_symmetry_Int_Tables_number 11
_symmetry_space_group_name_Hall '-P 2yb'
loop_
_atom_site_label
_atom_site_type_symbol
_atom_site_fract_x
_atom_site_fract_y
_atom_site_fract_z
Ce1 Ce 0.003 0.250 0.124
Ce2 Ce 0.122 0.750 0.455
Ce3 Ce 0.224 0.250 0.769
Ce4 Ce 0.319 0.250 0.287
Ce5 Ce 0.362 0.750 0.044
Ce6 Ce 0.394 0.250 0.620
Ge1 Ge 0.448 0.750 0.819
Rh1 Rh 0.037 0.750 0.661
Rh2 Rh 0.168 0.250 0.987
Rh3 Rh 0.388 0.750 0.455
# - Theoretical density: 7.86 Mg/m³
# - Calculated formation energy: -51.2 kJ/mol of atoms
# - Magnetization: 0.47 μB/atom

# PBE Ac2Fe12Si7, relaxed
data_Ac2Fe12Si7
_cell_length_a 9.2390
_cell_length_b 9.2390
_cell_length_c 3.9203
_cell_angle_alpha 90.00
_cell_angle_beta 90.00
_cell_angle_gamma 120.00
_symmetry_space_group_name_H-M 'P -6'
_symmetry_Int_Tables_number 174
_symmetry_space_group_name_Hall 'P -6'
loop_
_atom_site_label
_atom_site_type_symbol
_atom_site_fract_x
_atom_site_fract_y
_atom_site_fract_z
Ac1 Ac 0.0000 0.0000 0.0000
Ac2 Ac 0.3333 0.6667 0.5000
Fe1 Fe 0.0646 0.3774 0.0000
Fe2 Fe 0.1275 0.8193 0.5000
Fe3 Fe 0.4818 0.2342 0.0000
Fe4 Fe 0.5081 0.4548 0.5000
Si1 Si 0.0500 0.6465 0.0000
Si2 Si 0.3213 0.1163 0.5000
Si3 Si 0.6667 0.3333 0.5000
# - Theoretical density: 7.57 Mg/m³
# - ΔE_f (raw): -5.91 eV per formula unit
# - Magnetization: 0.75 μB/atom

# PBE TbGdMg4, relaxed
data_TbGdMg4
_cell_length_a 8.562
_cell_length_b 8.562
_cell_length_c 8.562
_cell_angle_alpha 90.00
_cell_angle_beta 90.00
_cell_angle_gamma 90.00
_symmetry_space_group_name_H-M 'F -4 3 m'
_symmetry_Int_Tables_number 216
_symmetry_space_group_name_Hall 'F -4 2 3'
loop_
_atom_site_label
_atom_site_type_symbol
_atom_site_fract_x
_atom_site_fract_y
_atom_site_fract_z
Tb1 Tb 0.000 0.000 0.000
Gd1 Gd 0.250 0.250 0.750
Mg1 Mg 0.125 0.125 0.375
# - Theoretical density: 4.38 Mg/m³
# - Calculated formation energy: -8.3 kJ/mol of atoms
# - Magnetization: 1.29 μB/atom

# PBE AcCuPt, relaxed
data_AcCuPt
_cell_length_a 4.4567
_cell_length_b 4.4567
_cell_length_c 8.2131
_cell_angle_alpha 90.00
_cell_angle_beta 90.00
_cell_angle_gamma 120.00
_symmetry_space_group_name_H-M 'P 63/m m c'
_symmetry_Int_Tables_number 194
_symmetry_space_group_name_Hall '-P 6c 2c'
loop_
_atom_site_label
_atom_site_type_symbol
_atom_site_fract_x
_atom_site_fract_y
_atom_site_fract_z
Ac1 Ac 0.0000 0.0000 0.0000
Cu1 Cu 0.3333 0.6667 0.2500
Pt1 Pt 0.3333 0.6667 0.7500
# - Excess energy over the best structure of this formula in the dataset: 0.0 meV per atom
# - Theoretical density: 11.42 Mg/m³
# - Calculated formation energy: -74.4 kJ/mol of atoms
# - Magnetization: 0.00 μB/atom

# PBE KInGe, relaxed
data_KInGe
_cell_length_a 5.020
_cell_length_b 8.040
_cell_length_c 8.479
_cell_angle_alpha 90.00
_cell_angle_beta 90.00
_cell_angle_gamma 90.00
_symmetry_space_group_name_H-M 'I m a 2'
_symmetry_Int_Tables_number 46
_symmetry_space_group_name_Hall 'I 2 -2a'
loop_
_atom_site_label
_atom_site_type_symbol
_atom_site_fract_x
_atom_site_fract_y
_atom_site_fract_z
K1 K 0.250 0.172 0.000
In1 In 0.250 0.600 0.169
Ge1 Ge 0.250 0.586 0.832
# - Theoretical density: 4.40 Mg/m³
# - Calculated formation energy: -6.4 kJ/mol of atoms
# - Magnetization: 0.00 μB/atom

# PBE Nb2PtBr, relaxed
data_Nb2PtBr
_cell_length_a 6.543
_cell_length_b 6.543
_cell_length_c 6.543
_cell_angle_alpha 90.00
_cell_angle_beta 90.00
_cell_angle_gamma 90.00
_symmetry_space_group_name_H-M 'F m -3 m'
_symmetry_Int_Tables_number 225
_symmetry_space_group_name_Hall '-F 4 2 3'
loop_
_atom_site_label
_atom_site_type_symbol
_atom_site_fract_x
_atom_site_fract_y
_atom_site_fract_z
Nb1 Nb 0.250 0.250 0.250
Pt1 Pt 0.000 0.000 0.000
Br1 Br 0.000 0.000 0.500
# - Excess energy over the best structure of this formula in the dataset: 0.0 meV per atom
# - Theoretical density: 10.93 Mg/m³
# - ΔE_f (raw): 0.33 eV per formula unit
# - Magnetization: 0.00 μB/atom

# PBE ErSnPb, relaxed
data_ErSnPb
_cell_length_a 4.571
_cell_length_b 16.195
_cell_length_c 4.405
_cell_angle_alpha 90.00
_cell_angle_beta 90.00
_cell_angle_gamma 90.00
_symmetry_space_group_name_H-M 'C m c m'
_symmetry_Int_Tables_number 63
_symmetry_space_group_name_Hall '-C 2c 2'
loop_
_atom_site_label
_atom_site_type_symbol
_atom_site_fract_x
_atom_site_fract_y
_atom_site_fract_z
Er1 Er 0.000 0.092 0.250
Sn1 Sn 0.000 0.434 0.250
Pb1 Pb 0.000 0.252 0.750
# - Excess energy over the best structure of this formula in the dataset: 0.0 meV per atom
# - Theoretical density: 10.04 Mg/m³
# - Calculated formation energy: -43.3 kJ/mol of atoms
# - Magnetization: 0.00 μB/atom

# PBE Sm2Si2SnRh5, relaxed
data_Sm2Si2SnRh5
_cell_length_a 9.909
_cell_length_b 9.909
_cell_length_c 3.549
_cell_angle_alpha 90.00
_cell_angle_beta 90.00
_cell_angle_gamma 90.00
_symmetry_space_group_name_H-M 'P 4/m b m'
_symmetry_Int_Tables_number 127
_symmetry_space_group_name_Hall '-P 4 2ab'
loop_
_atom_site_label
_atom_site_type_symbol
_atom_site_fract_x
_atom_site_fract_y
_atom_site_fract_z
Sm1 Sm 0.177 0.323 0.000
Si1 Si 0.120 0.620 0.000
Sn1 Sn 0.000 0.000 0.000
Rh1 Rh 0.000 0.500 0.500
Rh2 Rh 0.069 0.781 0.500
# - Theoretical density: 9.44 Mg/m³
# - ΔE_f (raw): -9.08 eV per formula unit
# - Magnetization: 0.00 μB/atom

# PBE Be3Pd2Pt2, relaxed
data_Be3Pd2Pt2
_cell_length_a 3.9563
_cell_length_b 3.9563
_cell_length_c 19.4296
_cell_angle_alpha 90.00
_cell_angle_beta 90.00
_cell_angle_gamma 120.00
_symmetry_space_group_name_H-M 'R -3 m'
_symmetry_Int_Tables_number 166
_symmetry_space_group_name_Hall '-R 3 2"'
loop_
_atom_site_label
_atom_site_type_symbol
_atom_site_fract_x
_atom_site_fract_y
_atom_site_fract_z
Be1 Be 0.0000 0.0000 0.0000
Be2 Be 0.0000 0.0000 0.2503
Pd1 Pd 0.0000 0.0000 0.1264
Pt1 Pt 0.0000 0.0000 0.3759
# - Theoretical density: 11.92 Mg/m³
# - Calculated formation energy: -57.9 kJ/mol of atoms
# - Magnetization: 0.00 μB/atom

# PBE Th2Ni17H3, relaxed
data_Th2Ni17H3
_cell_length_a 8.4519
_cell_length_b 8.4519
_cell_length_c 12.1064
_cell_angle_alpha 90.00
_cell_angle_beta 90.00
_cell_angle_gamma 120.00
_symmetry_space_group_name_H-M 'R -3 m'
_symmetry_Int_Tables_number 166
_symmetry_space_group_name_Hall '-R 3 2"'
loop_
_atom_site_label
_atom_site_type_symbol
_atom_site_fract_x
_atom_site_fract_y
_atom_site_fract_z
Th1 Th 0.0000 0.0000 0.1623
Ni1 Ni 0.0000 0.0000 0.4003
Ni2 Ni 0.0000 0.2887 0.5000
Ni3 Ni 0.0000 0.5000 0.0000
Ni4 Ni 0.0020 0.5010 0.3470
H1 H 0.0000 0.5000 0.5000
# - Theoretical density: 9.74 Mg/m³
# - Magnetization: 0.14 μB/atom
# - Raw total energy: -5.8484 eV per atom

# PBE Ac2ErThAs4, relaxed
data_Ac2ErThAs4
_cell_length_a 7.502
_cell_length_b 4.350
_cell_length_c 7.590
_cell_angle_alpha 90.00
_cell_angle_beta 109.33
_cell_angle_gamma 90.00
_symmetry_space_group_name_H-M 'P 1 2/m 1'
_symmetry_Int_Tables_number 10
_symmetry_space_group_name_Hall '-P 2y'
loop_
_atom_site_label
_atom_site_type_symbol
_atom_site_fract_x
_atom_site_fract_y
_atom_site_fract_z
Ac1 Ac 0.000 0.000 0.000
Ac2 Ac 0.500 0.500 0.000
Er1 Er 0.000 0.500 0.500
Th1 Th 0.500 0.000 0.500
As1 As 0.239 0.000 0.726
As2 As 0.254 0.500 0.272
# - Theoretical density: 8.19 Mg/m³
# - Calculated formation energy: -140.9 kJ/mol of atoms
# - Magnetization: 0.00 μB/atom

# PBE Ag2Cl6F, relaxed
data_Ag2Cl6F
_cell_length_a 13.387
_cell_length_b 12.667
_cell_length_c 7.400
_cell_angle_alpha 90.00
_cell_angle_beta 113.31
_cell_angle_gamma 90.00
_symmetry_space_group_name_H-M 'C 1 2/c 1'
_symmetry_Int_Tables_number 15
_symmetry_space_group_name_Hall '-C 2yc'
loop_
_atom_site_label
_atom_site_type_symbol
_atom_site_fract_x
_atom_site_fract_y
_atom_site_fract_z
Ag1 Ag 0.167 0.146 0.342
Cl1 Cl 0.082 0.461 0.788
Cl2 Cl 0.154 0.276 0.573
Cl3 Cl 0.187 0.035 0.102
F1 F 0.000 0.112 0.250
# - Theoretical density: 2.58 Mg/m³
# - ΔE_f (raw): -2.75 eV per formula unit
# - Magnetization: 0.00 μB/atom